A geometry-optimized AlTe2W structure. Source: Alexandria, functional GGA-PBE.

Cell lengths 4.802, 4.802, 6.894 Å; angles 101.79, 101.79, 41.82 degrees
Fractional positions:
Al (0.000, 0.000, 0.000)
Te (0.557, 0.557, 0.676)
Te (0.765, 0.765, 0.223)
W (0.268, 0.268, 0.915)

energy relative to the elements, uncorrected: 0.190 eV per atom
space-group type: Cm (8)
raw total energy: -22.218 eV/cell


A geometry-optimized YTl2W2 structure. Source: Alexandria, functional GGA-PBE.

Cell lengths 7.558, 7.558, 7.558 Å; angles 149.63, 149.63, 43.48 degrees
Fractional positions:
Y (0.000, 0.000, 0.000)
Tl (0.397, 0.397, 0.000)
Tl (0.603, 0.603, 0.000)
W (0.250, 0.750, 0.500)
W (0.750, 0.250, 0.500)

polymorph energy (0 for the lowest one): 0.0 meV per atom
ΔE_f: 0.540 eV per atom
space-group type: I4/mmm (139)
raw total energy: -34.405 eV/cell


A geometry-optimized CaAcTbEr structure. Source: Alexandria, functional GGA-PBE.

Cell lengths 5.917, 5.917, 5.917 Å; angles 60.00, 60.00, 60.00 degrees
Fractional positions:
Ca (0.000, 0.000, 0.000)
Ac (0.250, 0.250, 0.250)
Tb (0.750, 0.750, 0.750)
Er (0.500, 0.500, 0.500)

ΔE_f: 0.126 eV per atom
space-group type: F-43m (216)
raw total energy: -14.797 eV/cell


A geometry-optimized NbCrP2 structure. Source: Alexandria, functional GGA-PBE.

Cell lengths 5.924, 5.924, 5.924 Å; angles 34.92, 34.92, 34.92 degrees
Fractional positions:
Nb (0.000, 0.000, 0.000)
Cr (0.500, 0.500, 0.500)
P (0.242, 0.242, 0.242)
P (0.758, 0.758, 0.758)

polymorph energy (0 for the lowest one): 0.0 meV per atom
ΔE_f: -0.407 eV per atom
space-group type: R-3m (166)
raw total energy: -32.140 eV/cell


A geometry-optimized Pr2Ho3Se6 structure. Source: Alexandria, functional GGA-PBE.

Cell lengths 7.118, 7.118, 7.209 Å; angles 99.51, 99.51, 119.76 degrees
Fractional positions:
Pr (0.165, 0.835, 0.000)
Pr (0.835, 0.165, 0.000)
Ho (0.000, 0.000, 0.500)
Ho (0.334, 0.666, 0.500)
Ho (0.666, 0.334, 0.500)
Se (0.086, 0.413, 0.737)
Se (0.262, 0.262, 0.260)
Se (0.413, 0.086, 0.737)
Se (0.587, 0.914, 0.263)
Se (0.738, 0.738, 0.740)
Se (0.914, 0.587, 0.263)

energy relative to the elements, uncorrected: -1.867 eV per atom
space-group type: C2/m (12)
raw total energy: -64.735 eV/cell


A geometry-optimized ScAuSe4 structure. Source: Alexandria, functional GGA-PBE.

Cell lengths 5.657, 5.657, 5.657 Å; angles 60.00, 60.00, 60.00 degrees
Fractional positions:
Sc (0.000, 0.000, 0.000)
Au (0.250, 0.250, 0.250)
Se (0.126, 0.625, 0.625)
Se (0.625, 0.126, 0.625)
Se (0.625, 0.625, 0.126)
Se (0.625, 0.625, 0.625)

energy relative to the elements, uncorrected: 0.180 eV per atom
space-group type: F-43m (216)
raw total energy: -22.465 eV/cell


A geometry-optimized SrFeMo4 structure. Source: Alexandria, functional GGA-PBE.

Cell lengths 5.416, 5.416, 5.416 Å; angles 60.00, 60.00, 60.00 degrees
Fractional positions:
Sr (0.000, 0.000, 0.000)
Fe (0.750, 0.750, 0.750)
Mo (0.375, 0.375, 0.375)
Mo (0.375, 0.375, 0.875)
Mo (0.375, 0.875, 0.375)
Mo (0.875, 0.375, 0.375)

ΔE_f: 0.789 eV per atom
space-group type: F-43m (216)
raw total energy: -48.736 eV/cell


A geometry-optimized NdSm3Tm structure. Source: Alexandria, functional GGA-PBE.

Cell lengths 9.715, 6.168, 11.743 Å; angles 90.00, 108.29, 90.00 degrees
Fractional positions:
Nd (0.196, 0.138, 0.172)
Nd (0.196, 0.362, 0.672)
Nd (0.804, 0.638, 0.328)
Nd (0.804, 0.862, 0.828)
Sm (0.006, 0.172, 0.379)
Sm (0.006, 0.328, 0.879)
Sm (0.397, 0.622, 0.224)
Sm (0.397, 0.878, 0.724)
Sm (0.403, 0.237, 0.476)
Sm (0.403, 0.263, 0.976)
Sm (0.597, 0.737, 0.024)
Sm (0.597, 0.763, 0.524)
Sm (0.603, 0.122, 0.276)
Sm (0.603, 0.378, 0.776)
Sm (0.994, 0.672, 0.121)
Sm (0.994, 0.828, 0.621)
Tm (0.206, 0.710, 0.430)
Tm (0.206, 0.790, 0.930)
Tm (0.794, 0.210, 0.070)
Tm (0.794, 0.290, 0.570)

polymorph energy (0 for the lowest one): 0.0 meV per atom
ΔE_f: 0.061 eV per atom
space-group type: P2_1/c (14)
raw total energy: -92.371 eV/cell


A geometry-optimized UGa3Ni12 structure. Source: Alexandria, functional GGA-PBE.

Cell lengths 3.687, 3.687, 14.229 Å; angles 90.00, 90.00, 90.00 degrees
Fractional positions:
U (0.000, 0.000, 0.000)
Ga (0.000, 0.000, 0.261)
Ga (0.000, 0.000, 0.500)
Ga (0.000, 0.000, 0.739)
Ni (0.000, 0.500, 0.131)
Ni (0.000, 0.500, 0.379)
Ni (0.000, 0.500, 0.621)
Ni (0.000, 0.500, 0.869)
Ni (0.500, 0.000, 0.131)
Ni (0.500, 0.000, 0.379)
Ni (0.500, 0.000, 0.621)
Ni (0.500, 0.000, 0.869)
Ni (0.500, 0.500, 0.000)
Ni (0.500, 0.500, 0.256)
Ni (0.500, 0.500, 0.500)
Ni (0.500, 0.500, 0.744)

ΔE_f: -0.286 eV per atom
space-group type: P4/mmm (123)
raw total energy: -94.322 eV/cell


A geometry-optimized LaTlSi2 structure. Source: Alexandria, functional GGA-PBE.

Cell lengths 4.126, 4.273, 6.007 Å; angles 90.00, 90.00, 90.00 degrees
Fractional positions:
La (0.000, 0.000, 0.000)
Tl (0.500, 0.000, 0.500)
Si (0.500, 0.500, 0.191)
Si (0.500, 0.500, 0.809)

energy relative to the elements, uncorrected: -0.102 eV per atom
polymorph energy (0 for the lowest one): 130.4 meV per atom
space-group type: Pmmm (47)
raw total energy: -18.547 eV/cell


A geometry-optimized Th2B12Ir3Os structure. Source: Alexandria, functional GGA-PBE.

Cell lengths 8.161, 8.161, 8.161 Å; angles 41.95, 41.95, 41.95 degrees
Fractional positions:
Th (0.134, 0.134, 0.134)
Th (0.866, 0.866, 0.866)
B (0.140, 0.580, 0.580)
B (0.157, 0.157, 0.460)
B (0.157, 0.460, 0.157)
B (0.420, 0.420, 0.860)
B (0.420, 0.860, 0.420)
B (0.460, 0.157, 0.157)
B (0.540, 0.843, 0.843)
B (0.580, 0.140, 0.580)
B (0.580, 0.580, 0.140)
B (0.843, 0.540, 0.843)
B (0.843, 0.843, 0.540)
B (0.860, 0.420, 0.420)
Ir (0.000, 0.500, 0.500)
Ir (0.500, 0.000, 0.500)
Ir (0.500, 0.500, 0.000)
Os (0.500, 0.500, 0.500)

ΔE_f: -0.017 eV per atom
space-group type: R-3m (166)
raw total energy: -133.094 eV/cell


A geometry-optimized Nd2HoGe3Pd4 structure. Source: Alexandria, functional GGA-PBE.

Cell lengths 4.295, 4.295, 11.226 Å; angles 90.00, 90.00, 90.00 degrees
Fractional positions:
Nd (0.000, 0.500, 0.221)
Nd (0.500, 0.000, 0.779)
Ho (0.000, 0.000, 0.500)
Ge (0.000, 0.500, 0.877)
Ge (0.500, 0.000, 0.123)
Ge (0.500, 0.500, 0.500)
Pd (0.000, 0.000, 0.000)
Pd (0.000, 0.500, 0.656)
Pd (0.500, 0.000, 0.344)
Pd (0.500, 0.500, 0.000)

ΔE_f: -0.845 eV per atom
space-group type: P-4m2 (115)
raw total energy: -57.190 eV/cell